1.
DFT (PBE) results for crystalline HfHIr2Rh at its relaxed geometry.

It has space group P4/mmm (No. 123), with a = 3.943 Å, b = 3.943 Å, c = 4.145 Å, α = 90.00°, β = 90.00° and γ = 90.00°. The inequivalent atoms are Hf at (0.000, 0.000, 0.000), H at (0.000, 0.000, 0.500), Ir at (0.000, 0.500, 0.500) and Rh at (0.500, 0.500, 0.000).

The crystal system is tetragonal. Its energy above the most stable polymorph in this dataset is 7.24 kJ per mole of atoms.


2.
DFT (PBE) results for crystalline Pm3TePtBr at its relaxed geometry.

It has space group P2_1/m (No. 11), with a = 7.487 Å, b = 4.023 Å, c = 11.939 Å, α = 90.00°, β = 102.34° and γ = 90.00°. The inequivalent atoms are Pm at (0.041, 0.250, 0.137), Pm at (0.293, 0.250, 0.498), Pm at (0.451, 0.750, 0.856), Te at (0.345, 0.750, 0.304), Pt at (0.237, 0.250, 0.949) and Br at (0.115, 0.750, 0.632).

As for the formation energy from raw total energies: -7.46 eV/f.u. The crystal system is monoclinic.